1.
## Sc2GaTe6 (PBE)

Data for a relaxed Sc2GaTe6 crystal.

Lattice parameters (Å, degrees): 6.7727 6.7727 12.6255 90.00 90.00 90.00
Sites, in units of the cell vectors:
Sc  0.0000  0.0000  0.1595
Sc  0.0000  0.0000  0.8405
Sc  0.5000  0.5000  0.3405
Sc  0.5000  0.5000  0.6595
Ga  0.0000  0.0000  0.5000
Ga  0.5000  0.5000  0.0000
Te  0.1980  0.1980  0.3314
Te  0.1980  0.1980  0.6686
Te  0.2082  0.2082  0.0000
Te  0.2918  0.7082  0.5000
Te  0.3020  0.6980  0.1686
Te  0.3020  0.6980  0.8314
Te  0.6980  0.3020  0.1686
Te  0.6980  0.3020  0.8314
Te  0.7082  0.2918  0.5000
Te  0.7918  0.7918  0.0000
Te  0.8020  0.8020  0.3314
Te  0.8020  0.8020  0.6686

Results
symmetry	P4_2/mnm, No. 136
raw formation energy	-0.51	eV per atom
magnetization	0.00	μB/cell
DFT total energy	-4.34	eV per atom

2.
## GaH3 (PBE)

Data for a relaxed GaH3 crystal.

Lattice parameters (Å, degrees): 3.8865 3.8865 3.8865 141.95 74.39 118.79
Sites, in units of the cell vectors:
Ga  0.0000  0.0000  0.0000
H  0.3098  0.8098  0.5000
H  0.6009  0.2880  0.3128
H  0.9752  0.2880  0.6872

Results
symmetry	Imm2, No. 44
magnetization	0.00	μB/cell
DFT total energy	-2.74	eV per atom

3.
## La3Nd2Y2 (PBE)

Data for a relaxed La3Nd2Y2 crystal.

Lattice parameters (Å, degrees): 3.6814 6.3689 11.0137 84.04 89.94 73.21
Sites, in units of the cell vectors:
La  0.0000  0.0000  0.0000
La  0.1453  0.7111  0.5719
La  0.8547  0.2889  0.4281
Nd  0.2853  0.4300  0.1424
Nd  0.7147  0.5700  0.8576
Y  0.4282  0.1438  0.7146
Y  0.5718  0.8562  0.2854

Results
symmetry	P-1, No. 2
DFT formation energy	12	kJ/mol of formula units
magnetization	0.00	μB/cell
DFT total energy	-5.30	eV per atom
relative energy among the computed polymorphs	0	meV per atom